1.
{
  "formula": "LiVPd6",
  "functional": "GGA-PBE",
  "state": "optimized geometry",
  "formation_energy_kj_per_mol_atoms": -13.0,
  "energy_ev_per_cell": -43.3,
  "volume_a3_per_fu": 122.57,
  "lattice": [[-4.279, 4.904, -2.032], [-0.180, 1.181, -6.719], [-3.677, 0.129, -3.335]],
  "species": ["Li", "V", "Pd", "Pd", "Pd", "Pd", "Pd", "Pd"],
  "frac_coords": [[0.500, 0.500, 0.500], [0.000, 0.000, 0.000], [0.957, 0.548, 0.745], [0.750, 0.041, 0.663], [0.547, 0.249, 0.162], [0.250, 0.959, 0.337], [0.043, 0.452, 0.255], [0.453, 0.751, 0.838]]
}

***

2.
{
  "formula": "LiV2Pd2",
  "functional": "GGA-PBE",
  "state": "optimized geometry",
  "formation_energy_kj_per_mol_atoms": -1.0,
  "energy_ev_per_cell": -61.2,
  "volume_a3_per_fu": 77.45,
  "lattice": [[7.572, 0.000, 0.000], [0.000, 7.572, 0.000], [0.000, 0.000, 2.702]],
  "species": ["V", "V", "V", "V", "Pd", "Pd", "Pd", "Pd", "Li", "Li"],
  "frac_coords": [[0.161, 0.661, 0.500], [0.661, 0.839, 0.500], [0.839, 0.339, 0.500], [0.339, 0.161, 0.500], [0.365, 0.865, 0.000], [0.865, 0.635, 0.000], [0.635, 0.135, 0.000], [0.135, 0.365, 0.000], [0.000, 0.000, 0.000], [0.500, 0.500, 0.000]]
}

***

3.
{
  "formula": "LiV6Pd12",
  "functional": "GGA-PBE",
  "state": "optimized geometry",
  "formation_energy_kj_per_mol_atoms": -10.5,
  "energy_ev_per_cell": -121.0,
  "volume_a3_per_fu": 282.79,
  "lattice": [[6.519, 0.488, 0.585], [-0.506, 6.518, 0.585], [-0.506, -0.589, 6.518]],
  "species": ["Li", "V", "V", "V", "V", "V", "V", "Pd", "Pd", "Pd", "Pd", "Pd", "Pd", "Pd", "Pd", "Pd", "Pd", "Pd", "Pd"],
  "frac_coords": [[0.000, 0.000, 0.000], [0.721, 0.889, 0.266], [0.734, 0.279, 0.111], [0.111, 0.734, 0.279], [0.279, 0.111, 0.734], [0.266, 0.721, 0.889], [0.889, 0.266, 0.721], [0.803, 0.531, 0.434], [0.434, 0.803, 0.531], [0.531, 0.434, 0.803], [0.197, 0.469, 0.566], [0.566, 0.197, 0.469], [0.469, 0.566, 0.197], [0.020, 0.141, 0.357], [0.859, 0.643, 0.980], [0.643, 0.980, 0.859], [0.980, 0.859, 0.643], [0.141, 0.357, 0.020], [0.357, 0.020, 0.141]]
}

***

4.
{
  "formula": "LiVPd2",
  "functional": "GGA-PBE",
  "state": "optimized geometry",
  "formation_energy_kj_per_mol_atoms": 9.9,
  "energy_ev_per_cell": -42.0,
  "volume_a3_per_fu": 61.78,
  "lattice": [[-3.953, 4.722, -2.647], [1.153, -2.468, -6.125], [-3.570, -0.541, -4.122]],
  "species": ["V", "V", "Pd", "Pd", "Pd", "Pd", "Li", "Li"],
  "frac_coords": [[0.000, 0.000, 0.000], [0.750, 0.250, 0.500], [0.621, 0.125, 0.250], [0.129, 0.625, 0.250], [0.375, 0.379, 0.750], [0.875, 0.871, 0.750], [0.500, 0.500, 0.000], [0.250, 0.750, 0.500]]
}